The following is a GGA-PBE calculation of NaAcNi4 after structural relaxation, from Alexandria via LeMat-Bulk.

POSCAR file:
```
NaAcNi4
1.0
-4.566 -1.836 1.520
-0.405 -2.508 4.481
-2.465 2.184 3.960
Ni Ac Na
4 1 1
direct
0.122 0.626 0.626
0.626 0.626 0.122
0.626 0.626 0.626
0.626 0.122 0.626
0.250 0.250 0.250
0.000 0.000 0.000
```

Calculated values
Magnetic moment (μB per formula unit): 0.0
DFT total energy (eV per atom): -4.82
Theoretical density (g/cm3): 8.33
Energy of formation from the pure elements (eV/atom): -0.057